A relaxed Ag2S5 crystal. Source: the Open Quantum Materials Database, functional PBE-GGA.

Lattice parameters (Å, degrees): 9.6290 8.0941 7.0077 78.87 55.57 45.57
Last column: nearest neighbours and their distance in Å.
Fractional positions:
S  0.4465  0.8965  0.2579  1 S 2.06
S  0.9921  0.8509  0.8035  1 S 2.06
S  0.3991  0.2579  0.8965  1 S 2.06
S  0.3535  0.8035  0.8509  1 S 2.06
S  0.0000  0.0000  0.0000  4 S 2.06
S  0.8965  0.4465  0.3991  1 S 2.06
S  0.2579  0.3991  0.4465  1 S 2.06
S  0.8509  0.9921  0.3535  1 S 2.06
S  0.2500  0.2500  0.2500  4 S 2.06
S  0.8035  0.3535  0.9921  1 S 2.06
Ag  0.9592  0.5408  0.9592  6 S 2.69-2.84
Ag  0.2908  0.7092  0.2908  6 S 2.69-2.84
Ag  0.5408  0.9592  0.5408  6 S 2.69-2.84
Ag  0.7092  0.2908  0.7092  6 S 2.69-2.84

Calculated values
Its space group is Fddd, No. 70. Its electronic total energy is -3.49 eV/atom. As for the volume: 21.572 Å³/atom.



A relaxed TbU crystal. Source: the Open Quantum Materials Database, functional PBE-GGA.

Lattice parameters (Å, degrees): 3.2214 3.2213 5.7806 90.00 90.00 120.00
Last column: nearest neighbours and their distance in Å.
Fractional positions:
Tb  0.6667  0.3333  0.7500  6 Tb 3.22, 6 U 3.44
U  0.3333  0.6667  0.2500  6 U 3.22, 6 Tb 3.44

Calculated values
Its space group is P-6m2, No. 187. Its electronic total energy is -7.47 eV/atom. For the total moment, the calculation gives 2.0 μB/f.u. As for the volume: 25.974 Å³/atom. The value obtained for the polymorph energy (0 for the lowest one) is 0.0 kJ/mol of formula units.



A relaxed SmHfPO crystal. Source: the Open Quantum Materials Database, functional PBE-GGA.

Lattice parameters (Å, degrees): 4.0345 7.2250 5.8303 90.00 90.00 90.00
Last column: nearest neighbours and their distance in Å.
Fractional positions:
O  0.0000  0.3522  0.3524  2 Hf 2.06-2.07
O  0.0000  0.6478  0.8524  2 Hf 2.06-2.07
P  0.5000  0.8222  0.4484  2 Hf 2.54, 1 Sm 2.80
P  0.5000  0.1778  0.9484  2 Hf 2.54, 1 Sm 2.80
Hf  0.0000  0.3874  0.0012  2 O 2.06-2.07
Hf  0.0000  0.6126  0.5012  2 O 2.06-2.07
Sm  0.5000  0.2095  0.4519  2 O 2.34
Sm  0.5000  0.7905  0.9519  2 O 2.34

Calculated values
Its space group is Pmc2_1, No. 26. Its electronic total energy is -8.04 eV/atom. For the total moment, the calculation gives 0.0 μB/f.u. As for the volume: 21.244 Å³/atom. The value obtained for the polymorph energy (0 for the lowest one) is 74.4 kJ/mol of formula units.



A relaxed PmBiN2O crystal. Source: the Open Quantum Materials Database, functional PBE-GGA.

Lattice parameters (Å, degrees): 5.9371 4.0549 6.1774 90.00 90.00 90.00
Last column: nearest neighbours and their distance in Å.
Fractional positions:
Bi  0.7500  0.5000  0.2339  4 N 2.07-2.12, 2 O 2.21
Bi  0.2500  0.5000  0.7661  4 N 2.07-2.12, 2 O 2.21
N  0.7500  0.0000  0.3320  2 Bi 2.12, 1 Pm 2.32
N  0.5000  0.5000  0.0000  2 Bi 2.07
N  0.0000  0.5000  0.0000  2 Bi 2.07
N  0.2500  0.0000  0.6680  2 Bi 2.12, 1 Pm 2.32
Pm  0.2500  0.0000  0.2922  1 N 2.32
Pm  0.7500  0.0000  0.7078  1 N 2.32
O  0.5000  0.5000  0.5000  2 Bi 2.21
O  0.0000  0.5000  0.5000  2 Bi 2.21

Calculated values
Its space group is Pmma, No. 51. Its electronic total energy is -6.35 eV/atom. For the total moment, the calculation gives 0.0 μB/f.u. As for the volume: 14.872 Å³/atom.



Copy entry 3 word for word.
A relaxed SmHfPO crystal. Source: the Open Quantum Materials Database, functional PBE-GGA.

Lattice parameters (Å, degrees): 4.0345 7.2250 5.8303 90.00 90.00 90.00
Last column: nearest neighbours and their distance in Å.
Fractional positions:
O  0.0000  0.3522  0.3524  2 Hf 2.06-2.07
O  0.0000  0.6478  0.8524  2 Hf 2.06-2.07
P  0.5000  0.8222  0.4484  2 Hf 2.54, 1 Sm 2.80
P  0.5000  0.1778  0.9484  2 Hf 2.54, 1 Sm 2.80
Hf  0.0000  0.3874  0.0012  2 O 2.06-2.07
Hf  0.0000  0.6126  0.5012  2 O 2.06-2.07
Sm  0.5000  0.2095  0.4519  2 O 2.34
Sm  0.5000  0.7905  0.9519  2 O 2.34

Calculated values
Its space group is Pmc2_1, No. 26. Its electronic total energy is -8.04 eV/atom. For the total moment, the calculation gives 0.0 μB/f.u. As for the volume: 21.244 Å³/atom. The value obtained for the polymorph energy (0 for the lowest one) is 74.4 kJ/mol of formula units.